Compound: CrSiC
Source: the Alexandria database
Functional: PBE
Structure: optimized geometry

Results
The value obtained for the total energy is -7.807 eV/atom. As for the energy relative to the elements, uncorrected: 283 meV per atom. The calculation puts the energy above the most stable polymorph in this dataset at 181 meV/atom.

a = 2.7502 Å, b = 2.7502 Å, c = 4.9156 Å
α = 90.00°, β = 90.00°, γ = 120.00°
Fractional positions:
Cr  0.0000  0.0000  0.0000
Si  0.3333  0.6667  0.6145
C  0.3333  0.6667  0.2410